Computed, not measured: a relaxed LaPaCrSe6 crystal at the PBE-GGA level of DFT.

Results
- Formation energy (no corrections): -1012.1 meV per atom
- Raw total energy: -6.007 eV/atom

Lattice parameters (Å, degrees): 6.8867 6.8867 6.1214 90.00 90.00 120.00
With the nearest neighbours (Å) after each atom.
Space group P312 (No. 149)
Inequivalent atoms, fractional coordinates:
La 0.0000 0.0000 0.0000  6 Se 2.97
Pa 0.6667 0.3333 0.5000  6 Se 2.78
Cr 0.3333 0.6667 0.0000  6 Se 2.54
Se 0.0235 0.3831 0.2460  1 Cr 2.54, 1 Pa 2.78